[1]
Below is K4TeO after structural relaxation, with properties calculated at the GGA-PBE level.

```
data_K4TeO
_cell_length_a 14.975
_cell_length_b 7.808
_cell_length_c 6.986
_cell_angle_alpha 90.00
_cell_angle_beta 98.71
_cell_angle_gamma 90.00
_symmetry_space_group_name_H-M 'C 1 2/m 1'
_symmetry_Int_Tables_number 12
loop_
_symmetry_equiv_pos_as_xyz
'x,y,z'
'-x,-y,-z'
'-x,y,-z'
'x,-y,z'
'x+1/2,y+1/2,z'
'-x+1/2,-y+1/2,-z'
'-x+1/2,y+1/2,-z'
'x+1/2,-y+1/2,z'
loop_
_atom_site_label
_atom_site_type_symbol
_atom_site_fract_x
_atom_site_fract_y
_atom_site_fract_z
K1 K 0.000 0.230 0.000
K2 K 0.104 0.197 0.564
K3 K 0.195 0.000 0.173
Te1 Te 0.186 0.500 0.242
O1 O 0.031 0.000 0.277
```

The total energy comes out at -3.053 eV per atom. The calculation puts the uncorrected formation energy at -972 meV/atom.

[2]
Below is LaMgTl3 after structural relaxation, with properties calculated at the GGA-PBE level.

```
data_LaMgTl3
_cell_length_a 5.370
_cell_length_b 5.370
_cell_length_c 5.370
_cell_angle_alpha 90.00
_cell_angle_beta 90.00
_cell_angle_gamma 90.00
_symmetry_space_group_name_H-M 'P m -3 m'
_symmetry_Int_Tables_number 221
_symmetry_space_group_name_Hall '-P 4 2 3'
loop_
_atom_site_label
_atom_site_type_symbol
_atom_site_fract_x
_atom_site_fract_y
_atom_site_fract_z
La1 La 0.000 0.000 0.000
Mg1 Mg 0.500 0.500 0.500
Tl1 Tl 0.000 0.500 0.500
```

The total energy comes out at -2.669 eV per atom.

[3]
Below is CaPrS2 after structural relaxation, with properties calculated at the GGA-PBE level.

```
data_CaPrS2
_cell_length_a 3.9643
_cell_length_b 3.9643
_cell_length_c 7.1569
_cell_angle_alpha 90.00
_cell_angle_beta 90.00
_cell_angle_gamma 120.00
_symmetry_space_group_name_H-M 'P -3 m 1'
_symmetry_Int_Tables_number 164
_symmetry_space_group_name_Hall '-P 3 2"'
loop_
_atom_site_label
_atom_site_type_symbol
_atom_site_fract_x
_atom_site_fract_y
_atom_site_fract_z
Ca1 Ca 0.0000 0.0000 0.0000
Pr1 Pr 0.0000 0.0000 0.5000
S1 S 0.3333 0.6667 0.2413
```

The total energy comes out at -5.700 eV per atom. The calculation puts the uncorrected formation energy at -1941 meV/atom.

[4]
Below is Sr2LaTlS after structural relaxation, with properties calculated at the GGA-PBE level.

```
data_Sr2LaTlS
_cell_length_a 5.654
_cell_length_b 5.654
_cell_length_c 5.634
_cell_angle_alpha 90.00
_cell_angle_beta 90.00
_cell_angle_gamma 90.00
_symmetry_space_group_name_H-M 'P 4/m m m'
_symmetry_Int_Tables_number 123
_symmetry_space_group_name_Hall '-P 4 2'
loop_
_atom_site_label
_atom_site_type_symbol
_atom_site_fract_x
_atom_site_fract_y
_atom_site_fract_z
Sr1 Sr 0.000 0.500 0.000
La1 La 0.000 0.000 0.500
Tl1 Tl 0.500 0.500 0.500
S1 S 0.000 0.000 0.000
```

The total energy comes out at -3.811 eV per atom. The calculation puts the uncorrected formation energy at -854 meV/atom.

Repeat the fourth record exactly.
Below is Sr2LaTlS after structural relaxation, with properties calculated at the GGA-PBE level.

```
data_Sr2LaTlS
_cell_length_a 5.654
_cell_length_b 5.654
_cell_length_c 5.634
_cell_angle_alpha 90.00
_cell_angle_beta 90.00
_cell_angle_gamma 90.00
_symmetry_space_group_name_H-M 'P 4/m m m'
_symmetry_Int_Tables_number 123
_symmetry_space_group_name_Hall '-P 4 2'
loop_
_atom_site_label
_atom_site_type_symbol
_atom_site_fract_x
_atom_site_fract_y
_atom_site_fract_z
Sr1 Sr 0.000 0.500 0.000
La1 La 0.000 0.000 0.500
Tl1 Tl 0.500 0.500 0.500
S1 S 0.000 0.000 0.000
```

The total energy comes out at -3.811 eV per atom. The calculation puts the uncorrected formation energy at -854 meV/atom.